# Tb5Er2Mg

A geometry-optimized Tb5Er2Mg structure (GGA-PBE, Alexandria).

N(E_F) = 17.0 states/eV per cell
M_tot = 0.00 Bohr magnetons per cell
crystal system = tetragonal
formation energy = 0.055 eV per atom
offset from the most stable computed form = 0.05 eV/f.u.

a b c (Å): 8.1061 8.1061 7.4991
angles (deg): 90.00 90.00 90.00
With the nearest neighbours (Å) after each atom.
Space group I4mm (No. 107)
Asymmetric unit:
Tb: 0.0000 0.0000 0.0000  1 Mg 3.19, 8 Tb 3.46
Tb: 0.2273 0.2273 0.3025  2 Mg 3.31-3.56, 4 Er 3.41-3.46, 4 Tb 3.46-3.69
Er: 0.0000 0.5000 0.0583  8 Tb 3.41-3.46, 2 Er 3.75
Mg: 0.0000 0.0000 0.5740  9 Tb 3.19-3.56

=====

# TbEr7Mg2

A geometry-optimized TbEr7Mg2 structure (GGA-PBE, Alexandria).

N(E_F) = 35.8 states/eV per cell
M_tot = 0.00 Bohr magnetons per cell
crystal system = orthorhombic
formation energy = 0.592 eV per atom

a b c (Å): 8.7410 16.2760 5.1881
angles (deg): 90.00 90.00 90.00
With the nearest neighbours (Å) after each atom.
Space group Cmmm (No. 65)
Asymmetric unit:
Tb: 0.0000 0.0000 0.0000  10 Er 3.40-3.55
Er: 0.0000 0.2086 0.0000  2 Mg 2.99
Er: 0.0000 0.5000 0.5000  2 Mg 3.26, 4 Er 3.33
Er: 0.1816 0.1123 0.5000  2 Mg 3.13-3.44, 4 Er 3.17-3.42
Mg: 0.0000 0.2996 0.5000  5 Er 2.99-3.26

=====

no.,calculated total energy (eV/atom)
1,-4.179
2,-3.384